No. 1
# TbPaMo4, relaxed, DFT PBE-GGA
data_TbPaMo4
_chemical_formula_sum 'Tb1 Pa1 Mo4'
_cell_length_a 5.513
_cell_length_b 5.513
_cell_length_c 5.513
_cell_angle_alpha 60.00
_cell_angle_beta 60.00
_cell_angle_gamma 60.00
_space_group_name_H-M_alt 'P 1'
_space_group_IT_number 1
loop_
_space_group_symop_operation_xyz
'x,y,z'
loop_
_atom_site_label
_atom_site_fract_x
_atom_site_fract_y
_atom_site_fract_z
Pa1 0.000 0.000 0.000
Mo1 0.625 0.625 0.124
Mo2 0.625 0.124 0.625
Mo3 0.124 0.625 0.625
Mo4 0.625 0.625 0.625
Tb1 0.250 0.250 0.250
# - Energy of formation: 114 meV/atom
# - Calculated total energy: -56.8 eV/cell
# - SG: F-43m

=====

No. 2
# TbPa2Mo, relaxed, DFT PBE-GGA
data_TbPa2Mo
_chemical_formula_sum 'Tb1 Pa2 Mo1'
_cell_length_a 3.707
_cell_length_b 3.707
_cell_length_c 9.176
_cell_angle_alpha 78.35
_cell_angle_beta 78.35
_cell_angle_gamma 60.00
_space_group_name_H-M_alt 'P 1'
_space_group_IT_number 1
loop_
_space_group_symop_operation_xyz
'x,y,z'
loop_
_atom_site_label
_atom_site_fract_x
_atom_site_fract_y
_atom_site_fract_z
Pa1 0.269 0.269 0.193
Pa2 0.731 0.731 0.807
Tb1 0.500 0.500 0.500
Mo1 0.000 0.000 0.000
# - Energy of formation: 433 meV/atom
# - Calculated total energy: -32.7 eV/cell
# - SG: R-3m

=====

No. 3
# TbPa2Mo, relaxed, DFT PBE-GGA
data_TbPa2Mo
_chemical_formula_sum 'Tb1 Pa2 Mo1'
_cell_length_a 3.401
_cell_length_b 3.401
_cell_length_c 8.516
_cell_angle_alpha 90.00
_cell_angle_beta 90.00
_cell_angle_gamma 90.00
_space_group_name_H-M_alt 'P 1'
_space_group_IT_number 1
loop_
_space_group_symop_operation_xyz
'x,y,z'
loop_
_atom_site_label
_atom_site_fract_x
_atom_site_fract_y
_atom_site_fract_z
Mo1 0.500 0.500 0.000
Pa1 0.000 0.000 0.206
Pa2 0.000 0.000 0.794
Tb1 0.500 0.500 0.500
# - Energy of formation: 212 meV/atom
# - Calculated total energy: -33.6 eV/cell
# - SG: P4/mmm

=====

No. 4
# TbPaTcMo, relaxed, DFT PBE-GGA
data_TbPaTcMo
_chemical_formula_sum 'Tb1 Pa1 Tc1 Mo1'
_cell_length_a 4.873
_cell_length_b 4.873
_cell_length_c 4.873
_cell_angle_alpha 60.00
_cell_angle_beta 60.00
_cell_angle_gamma 60.00
_space_group_name_H-M_alt 'P 1'
_space_group_IT_number 1
loop_
_space_group_symop_operation_xyz
'x,y,z'
loop_
_atom_site_label
_atom_site_fract_x
_atom_site_fract_y
_atom_site_fract_z
Mo1 0.500 0.500 0.500
Tc1 0.000 0.000 0.000
Pa1 0.750 0.750 0.750
Tb1 0.250 0.250 0.250
# - Energy of formation: 91 meV/atom
# - Calculated total energy: -35.0 eV/cell
# - SG: F-43m

=====

No. 5
# PaTc4Mo, relaxed, DFT PBE-GGA
data_PaTc4Mo
_chemical_formula_sum 'Pa1 Tc4 Mo1'
_cell_length_a 5.264
_cell_length_b 5.264
_cell_length_c 5.264
_cell_angle_alpha 60.00
_cell_angle_beta 60.00
_cell_angle_gamma 60.00
_space_group_name_H-M_alt 'P 1'
_space_group_IT_number 1
loop_
_space_group_symop_operation_xyz
'x,y,z'
loop_
_atom_site_label
_atom_site_fract_x
_atom_site_fract_y
_atom_site_fract_z
Tc1 0.625 0.625 0.625
Tc2 0.625 0.124 0.625
Tc3 0.625 0.625 0.124
Tc4 0.124 0.625 0.625
Mo1 0.000 0.000 0.000
Pa1 0.250 0.250 0.250
# - Energy of formation: 146 meV/atom
# - Calculated total energy: -60.9 eV/cell
# - SG: F-43m

=====

No. 6
# Pa3Tc2Mo, relaxed, DFT PBE-GGA
data_Pa3Tc2Mo
_chemical_formula_sum 'Pa6 Tc4 Mo2'
_cell_length_a 8.343
_cell_length_b 8.343
_cell_length_c 6.992
_cell_angle_alpha 90.00
_cell_angle_beta 90.00
_cell_angle_gamma 149.68
_space_group_name_H-M_alt 'P 1'
_space_group_IT_number 1
loop_
_space_group_symop_operation_xyz
'x,y,z'
loop_
_atom_site_label
_atom_site_fract_x
_atom_site_fract_y
_atom_site_fract_z
Pa1 0.176 0.824 0.255
Pa2 0.176 0.824 0.745
Pa3 0.500 0.500 0.248
Pa4 0.500 0.500 0.752
Pa5 0.824 0.176 0.745
Pa6 0.824 0.176 0.255
Tc1 0.000 0.000 0.000
Tc2 0.000 0.000 0.500
Tc3 0.359 0.641 0.500
Tc4 0.641 0.359 0.500
Mo1 0.648 0.352 0.000
Mo2 0.352 0.648 0.000
# - Energy of formation: -76 meV/atom
# - Calculated total energy: -121.0 eV/cell
# - SG: Cmmm

=====

No. 7
# PaTcMo, relaxed, DFT PBE-GGA
data_PaTcMo
_chemical_formula_sum 'Pa4 Tc4 Mo4'
_cell_length_a 4.712
_cell_length_b 8.510
_cell_length_c 5.518
_cell_angle_alpha 90.00
_cell_angle_beta 90.00
_cell_angle_gamma 90.00
_space_group_name_H-M_alt 'P 1'
_space_group_IT_number 1
loop_
_space_group_symop_operation_xyz
'x,y,z'
loop_
_atom_site_label
_atom_site_fract_x
_atom_site_fract_y
_atom_site_fract_z
Pa1 0.250 0.606 0.817
Pa2 0.750 0.106 0.683
Pa3 0.750 0.394 0.183
Pa4 0.250 0.894 0.317
Mo1 0.250 0.242 0.487
Mo2 0.750 0.758 0.513
Mo3 0.750 0.742 0.013
Mo4 0.250 0.258 0.987
Tc1 0.250 0.556 0.322
Tc2 0.250 0.944 0.822
Tc3 0.750 0.056 0.178
Tc4 0.750 0.444 0.678
# - Energy of formation: 19 meV/atom
# - Calculated total energy: -122.5 eV/cell
# - SG: Pnma

=====

No. 8
# PaTc2Mo, relaxed, DFT PBE-GGA
data_PaTc2Mo
_chemical_formula_sum 'Pa1 Tc2 Mo1'
_cell_length_a 3.251
_cell_length_b 4.658
_cell_length_c 4.658
_cell_angle_alpha 90.00
_cell_angle_beta 90.00
_cell_angle_gamma 90.00
_space_group_name_H-M_alt 'P 1'
_space_group_IT_number 1
loop_
_space_group_symop_operation_xyz
'x,y,z'
loop_
_atom_site_label
_atom_site_fract_x
_atom_site_fract_y
_atom_site_fract_z
Tc1 0.000 0.500 0.000
Tc2 0.000 0.000 0.500
Mo1 0.500 0.000 0.000
Pa1 0.500 0.500 0.500
# - Energy of formation: -11 meV/atom
# - Calculated total energy: -41.1 eV/cell
# - SG: P4/mmm

=====

No. 9
# Pa6Tc5Mo, relaxed, DFT PBE-GGA
data_Pa6Tc5Mo
_chemical_formula_sum 'Pa6 Tc5 Mo1'
_cell_length_a 4.023
_cell_length_b 7.559
_cell_length_c 8.307
_cell_angle_alpha 90.00
_cell_angle_beta 103.05
_cell_angle_gamma 90.00
_space_group_name_H-M_alt 'P 1'
_space_group_IT_number 1
loop_
_space_group_symop_operation_xyz
'x,y,z'
loop_
_atom_site_label
_atom_site_fract_x
_atom_site_fract_y
_atom_site_fract_z
Pa1 0.500 0.255 0.000
Pa2 0.779 0.749 0.666
Pa3 0.779 0.251 0.666
Pa4 0.221 0.749 0.334
Pa5 0.500 0.745 0.000
Pa6 0.221 0.251 0.334
Tc1 0.000 0.500 0.000
Tc2 0.312 0.000 0.665
Tc3 0.213 0.500 0.667
Tc4 0.688 0.000 0.335
Tc5 0.787 0.500 0.333
Mo1 0.000 0.000 0.000
# - Energy of formation: -153 meV/atom
# - Calculated total energy: -121.5 eV/cell
# - SG: P2/m

=====

No. 10
# PaTc2Mo, relaxed, DFT PBE-GGA
data_PaTc2Mo
_chemical_formula_sum 'Pa1 Tc2 Mo1'
_cell_length_a 2.877
_cell_length_b 2.877
_cell_length_c 10.245
_cell_angle_alpha 81.93
_cell_angle_beta 81.93
_cell_angle_gamma 60.00
_space_group_name_H-M_alt 'P 1'
_space_group_IT_number 1
loop_
_space_group_symop_operation_xyz
'x,y,z'
loop_
_atom_site_label
_atom_site_fract_x
_atom_site_fract_y
_atom_site_fract_z
Pa1 0.500 0.500 0.500
Tc1 0.922 0.922 0.235
Tc2 0.078 0.078 0.765
Mo1 0.000 0.000 0.000
# - Energy of formation: 654 meV/atom
# - Calculated total energy: -38.4 eV/cell
# - SG: R-3m

=====

No. 11
# PaTcMo, relaxed, DFT PBE-GGA
data_PaTcMo
_chemical_formula_sum 'Pa1 Tc1 Mo1'
_cell_length_a 3.729
_cell_length_b 3.729
_cell_length_c 4.874
_cell_angle_alpha 112.49
_cell_angle_beta 112.49
_cell_angle_gamma 90.00
_space_group_name_H-M_alt 'P 1'
_space_group_IT_number 1
loop_
_space_group_symop_operation_xyz
'x,y,z'
loop_
_atom_site_label
_atom_site_fract_x
_atom_site_fract_y
_atom_site_fract_z
Mo1 0.974 0.974 0.948
Tc1 0.593 0.593 0.186
Pa1 0.283 0.283 0.566
# - Energy of formation: 131 meV/atom
# - Calculated total energy: -30.3 eV/cell
# - SG: I4mm

=====

No. 12
# PaTcMo, relaxed, DFT PBE-GGA
data_PaTcMo
_chemical_formula_sum 'Pa1 Tc1 Mo1'
_cell_length_a 4.148
_cell_length_b 4.148
_cell_length_c 4.081
_cell_angle_alpha 90.00
_cell_angle_beta 90.00
_cell_angle_gamma 120.00
_space_group_name_H-M_alt 'P 1'
_space_group_IT_number 1
loop_
_space_group_symop_operation_xyz
'x,y,z'
loop_
_atom_site_label
_atom_site_fract_x
_atom_site_fract_y
_atom_site_fract_z
Tc1 0.000 0.000 0.076
Pa1 0.333 0.667 0.674
Mo1 0.667 0.333 0.250
# - Energy of formation: 237 meV/atom
# - Calculated total energy: -30.0 eV/cell
# - SG: P3m1

=====

No. 13
# PaTc2Mo, relaxed, DFT PBE-GGA
data_PaTc2Mo
_chemical_formula_sum 'Pa1 Tc2 Mo1'
_cell_length_a 3.110
_cell_length_b 3.110
_cell_length_c 7.264
_cell_angle_alpha 90.00
_cell_angle_beta 90.00
_cell_angle_gamma 90.00
_space_group_name_H-M_alt 'P 1'
_space_group_IT_number 1
loop_
_space_group_symop_operation_xyz
'x,y,z'
loop_
_atom_site_label
_atom_site_fract_x
_atom_site_fract_y
_atom_site_fract_z
Pa1 0.500 0.500 0.000
Mo1 0.500 0.500 0.500
Tc1 0.000 0.000 0.710
Tc2 0.000 0.000 0.290
# - Energy of formation: -14 meV/atom
# - Calculated total energy: -41.1 eV/cell
# - SG: P4/mmm

=====

No. 14
# PaTc2Mo, relaxed, DFT PBE-GGA
data_PaTc2Mo
_chemical_formula_sum 'Pa1 Tc2 Mo1'
_cell_length_a 4.632
_cell_length_b 4.632
_cell_length_c 4.632
_cell_angle_alpha 60.00
_cell_angle_beta 60.00
_cell_angle_gamma 60.00
_space_group_name_H-M_alt 'P 1'
_space_group_IT_number 1
loop_
_space_group_symop_operation_xyz
'x,y,z'
loop_
_atom_site_label
_atom_site_fract_x
_atom_site_fract_y
_atom_site_fract_z
Tc1 0.750 0.750 0.750
Tc2 0.250 0.250 0.250
Mo1 0.500 0.500 0.500
Pa1 0.000 0.000 0.000
# - Energy of formation: 27 meV/atom
# - Calculated total energy: -41.0 eV/cell
# - SG: Fm-3m